## TcHg2P (GGA-PBE)

Data for TcHg2P after structural relaxation.

a b c (Å): 9.6604 9.6604 9.6604
angles (deg): 18.36 18.36 18.36
Fractional coordinates of all 4 atoms:
Tc1 0.0000 0.0000 0.0000
Hg1 0.5184 0.5184 0.5184
Hg2 0.7508 0.7508 0.7508
P1 0.2803 0.2803 0.2803

## Properties
- Crystal system: trigonal
- Volume: 78.1 Å³ per cell
- Total magnetic moment: 0.000 μB per atom
- Calculated formation energy: 54 meV per atom
- Energy: -4.041 eV/atom
- Space-group type: R3m, No. 160

## La4TlZn (GGA-PBE)

Data for La4TlZn after structural relaxation.

a b c (Å): 5.3269 5.3269 7.4204
angles (deg): 90.04 90.04 90.00
Fractional coordinates of all 6 atoms:
La1 0.0002 0.4994 0.2240
La2 0.9998 0.5006 0.7760
La3 0.4994 0.0002 0.2240
La4 0.5006 0.9998 0.7760
Tl1 0.0000 0.0000 0.5000
Zn1 0.5000 0.5000 0.0000

## Properties
- Crystal system: monoclinic
- Volume: 210.6 Å³ per cell
- Energy relative to the lowest polymorph listed for this composition: 0.166 eV per atom
- Total magnetic moment: 0.000 μB per atom
- Calculated formation energy: -66 meV per atom
- Energy: -3.958 eV/atom
- Space-group type: C2/m, No. 12

## Al3SnP (GGA-PBE)

Data for Al3SnP after structural relaxation.

a b c (Å): 4.7370 4.7370 4.7370
angles (deg): 90.00 90.00 90.00
Fractional coordinates of all 5 atoms:
Al1 0.0000 0.0000 0.5000
Al2 0.0000 0.5000 0.0000
Al3 0.5000 0.0000 0.0000
Sn1 0.5000 0.5000 0.5000
P1 0.0000 0.0000 0.0000

## Properties
- Crystal system: cubic
- Volume: 106.3 Å³ per cell
- Energy relative to the lowest polymorph listed for this composition: 0.000 eV per atom
- Total magnetic moment: 0.000 μB per atom
- Calculated formation energy: 265 meV per atom
- Energy: -3.864 eV/atom
- Space-group type: Pm-3m, No. 221

## ScCuO3 (GGA-PBE)

Data for ScCuO3 after structural relaxation.

a b c (Å): 3.6817 3.6817 3.6817
angles (deg): 90.00 90.00 90.00
Fractional coordinates of all 5 atoms:
Sc1 0.0000 0.0000 0.0000
Cu1 0.5000 0.5000 0.5000
O1 0.0000 0.5000 0.5000
O2 0.5000 0.0000 0.5000
O3 0.5000 0.5000 0.0000

## Properties
- Crystal system: cubic
- Volume: 49.9 Å³ per cell
- Total magnetic moment: 0.000 μB per atom
- Energy: -6.468 eV/atom
- E_form (uncorrected): -1.408 eV per atom
- Space-group type: Pm-3m, No. 221

## SrTiN2 (GGA-PBE)

Data for SrTiN2 after structural relaxation.

a b c (Å): 5.6643 5.6643 5.6643
angles (deg): 120.53 120.53 89.09
Fractional coordinates of all 8 atoms:
Sr1 0.0000 0.0000 0.0000
Sr2 0.7500 0.2500 0.5000
Ti1 0.2500 0.7500 0.5000
Ti2 0.5000 0.5000 0.0000
N1 0.2196 0.6250 0.0946
N2 0.3750 0.4696 0.5946
N3 0.5304 0.1250 0.9054
N4 0.8750 0.7804 0.4054

## Properties
- Crystal system: tetragonal
- Volume: 127.5 Å³ per cell
- Total magnetic moment: 0.000 μB per atom
- Energy: -7.824 eV/atom
- E_form (uncorrected): -1.267 eV per atom
- Space-group type: I-42d, No. 122

## Tb6PmSm2Tm (GGA-PBE)

Data for Tb6PmSm2Tm after structural relaxation.

a b c (Å): 8.8074 8.8074 9.6571
angles (deg): 94.17 94.17 117.95
Fractional coordinates of all 20 atoms:
Tb1 0.0175 0.5701 0.1863
Tb2 0.1238 0.7466 0.5566
Tb3 0.2534 0.8762 0.9434
Tb4 0.2931 0.5063 0.3807
Tb5 0.4299 0.9825 0.3137
Tb6 0.4937 0.7069 0.1193
Tb7 0.5063 0.2931 0.8807
Tb8 0.5701 0.0175 0.6863
Tb9 0.7069 0.4937 0.6193
Tb10 0.7466 0.1238 0.0566
Tb11 0.8762 0.2534 0.4434
Tb12 0.9825 0.4299 0.8137
Pm1 0.0208 0.9792 0.2500
Pm2 0.9792 0.0208 0.7500
Sm1 0.1977 0.3006 0.0439
Sm2 0.3006 0.1977 0.5439
Sm3 0.6994 0.8023 0.4561
Sm4 0.8023 0.6994 0.9561
Tm1 0.4084 0.5916 0.7500
Tm2 0.5916 0.4084 0.2500

## Properties
- Crystal system: monoclinic
- Volume: 655.1 Å³ per cell
- Total magnetic moment: 0.000 μB per atom
- Calculated formation energy: 116 meV per atom
- Energy: -4.528 eV/atom
- Space-group type: C2/c, No. 15

## AcBeCu (GGA-PBE)

Data for AcBeCu after structural relaxation.

a b c (Å): 3.8180 3.8180 11.1312
angles (deg): 90.00 90.00 120.00
Fractional coordinates of all 6 atoms:
Ac1 0.0000 0.0000 0.1990
Ac2 0.0000 0.0000 0.8010
Be1 0.6667 0.3333 0.4063
Be2 0.6667 0.3333 0.5937
Cu1 0.0000 0.0000 0.5000
Cu2 0.6667 0.3333 0.0000

## Properties
- Crystal system: hexagonal
- Volume: 140.5 Å³ per cell
- Total magnetic moment: 0.000 μB per atom
- Calculated formation energy: 409 meV per atom
- Energy: -3.568 eV/atom
- Space-group type: P-6m2, No. 187

## KTc2Ir (GGA-PBE)

Data for KTc2Ir after structural relaxation.

a b c (Å): 6.0771 6.0771 6.0771
angles (deg): 102.93 102.93 123.55
Fractional coordinates of all 8 atoms:
K1 0.0000 0.0000 0.0000
K2 0.7500 0.2500 0.5000
Tc1 0.1928 0.6250 0.0678
Tc2 0.3750 0.4428 0.5678
Tc3 0.5572 0.1250 0.9322
Tc4 0.8750 0.8072 0.4322
Ir1 0.2500 0.7500 0.5000
Ir2 0.5000 0.5000 0.0000

## Properties
- Crystal system: tetragonal
- Volume: 164.8 Å³ per cell
- Energy relative to the lowest polymorph listed for this composition: 0.767 eV per atom
- Total magnetic moment: 0.000 μB per atom
- Calculated formation energy: 1369 meV per atom
- Energy: -6.303 eV/atom
- Space-group type: I-42d, No. 122